(1)
# La3Cu2Pd9Au | Alexandria | PBE | optimized geometry
# Density, Mg/m³: 8.7
# DFT formation energy, eV/atom: -0.304
# V, Å³ per cell: 322.6
data_La3Cu2Pd9Au
_cell_length_a 7.8973
_cell_length_b 7.8973
_cell_length_c 5.9720
_cell_angle_alpha 90.00
_cell_angle_beta 90.00
_cell_angle_gamma 120.00
_space_group_name_H-M_alt 'P -3 m 1'
_space_group_IT_number 164
_space_group_name_Hall '-P 3 2"'
loop_
_atom_site_label
_atom_site_type_symbol
_atom_site_fract_x
_atom_site_fract_y
_atom_site_fract_z
La1 La 0.0000 0.0000 0.0000
La2 La 0.3333 0.6667 0.6538
Cu1 Cu 0.3333 0.6667 0.1393
Pd1 Pd 0.0000 0.5000 0.0000
Pd2 Pd 0.1748 0.3496 0.3240
Au1 Au 0.0000 0.0000 0.5000


(2)
# Zr2Zn2As | Alexandria | PBE | optimized geometry
# Density, Mg/m³: 7.0
# DFT formation energy, eV/atom: -0.287
# V, Å³ per cell: 184.7
data_Zr2Zn2As
_cell_length_a 6.746
_cell_length_b 6.746
_cell_length_c 4.058
_cell_angle_alpha 90.00
_cell_angle_beta 90.00
_cell_angle_gamma 90.00
_space_group_name_H-M_alt 'P 4/m b m'
_space_group_IT_number 127
_space_group_name_Hall '-P 4 2ab'
loop_
_atom_site_label
_atom_site_type_symbol
_atom_site_fract_x
_atom_site_fract_y
_atom_site_fract_z
Zr1 Zr 0.173 0.327 0.000
Zn1 Zn 0.127 0.627 0.500
As1 As 0.000 0.000 0.500